The following is a DFT calculation (PBE-GGA) of an optimized crystal structure of TlIn2Au.

Its total energy is -2.742 eV per atom. The polymorph energy (0 for the lowest one) is 161.0 meV/atom. Its formation energy is 0.153 eV/f.u.

```
data_TlIn2Au
_cell_length_a 4.372
_cell_length_b 4.372
_cell_length_c 22.119
_cell_angle_alpha 90.00
_cell_angle_beta 90.00
_cell_angle_gamma 90.00
_space_group_name_H-M_alt 'I -4 2 d'
_space_group_IT_number 122
_space_group_name_Hall 'I -4 2bw'
loop_
_atom_site_label
_atom_site_type_symbol
_atom_site_fract_x
_atom_site_fract_y
_atom_site_fract_z
Tl1 Tl 0.000 0.000 0.000
In1 In 0.238 0.250 0.625
Au1 Au 0.000 0.000 0.500
```

---

The following is a DFT calculation (PBE-GGA) of an optimized crystal structure of TlInAu2.

Its total energy is -2.957 eV per atom. Its formation energy is -0.170 eV/f.u.

```
data_TlInAu2
_cell_length_a 4.972
_cell_length_b 5.082
_cell_length_c 7.206
_cell_angle_alpha 90.00
_cell_angle_beta 90.00
_cell_angle_gamma 90.00
_space_group_name_H-M_alt 'C m m m'
_space_group_IT_number 65
_space_group_name_Hall '-C 2 2'
loop_
_atom_site_label
_atom_site_type_symbol
_atom_site_fract_x
_atom_site_fract_y
_atom_site_fract_z
Tl1 Tl 0.000 0.000 0.000
In1 In 0.000 0.000 0.500
Au1 Au 0.000 0.500 0.276
```

---

The following is a DFT calculation (PBE-GGA) of an optimized crystal structure of TlIn6Au12.

Its total energy is -3.172 eV per atom. The polymorph energy (0 for the lowest one) is 0.0 meV/atom. Its formation energy is -2.143 eV/f.u.

```
data_TlIn6Au12
_cell_length_a 7.755
_cell_length_b 7.780
_cell_length_c 7.877
_cell_angle_alpha 103.94
_cell_angle_beta 105.82
_cell_angle_gamma 106.25
_space_group_name_H-M_alt 'P -1'
_space_group_IT_number 2
loop_
_space_group_symop_operation_xyz
'x,y,z'
'-x,-y,-z'
loop_
_atom_site_label
_atom_site_type_symbol
_atom_site_fract_x
_atom_site_fract_y
_atom_site_fract_z
Tl1 Tl 0.000 0.000 0.000
In1 In 0.001 0.714 0.490
In2 In 0.285 0.499 0.002
In3 In 0.498 0.998 0.724
Au1 Au 0.117 0.748 0.188
Au2 Au 0.187 0.111 0.746
Au3 Au 0.228 0.495 0.359
Au4 Au 0.240 0.798 0.877
Au5 Au 0.367 0.224 0.501
Au6 Au 0.483 0.623 0.756
```

---

The following is a DFT calculation (PBE-GGA) of an optimized crystal structure of Tl6InAu8.

Its total energy is -2.897 eV per atom. Its formation energy is -0.297 eV/f.u.

```
data_Tl6InAu8
_cell_length_a 8.6713
_cell_length_b 8.6713
_cell_length_c 16.6370
_cell_angle_alpha 90.00
_cell_angle_beta 90.00
_cell_angle_gamma 120.00
_space_group_name_H-M_alt 'R -3'
_space_group_IT_number 148
_space_group_name_Hall '-R 3'
loop_
_atom_site_label
_atom_site_type_symbol
_atom_site_fract_x
_atom_site_fract_y
_atom_site_fract_z
Tl1 Tl 0.0126 0.7739 0.4091
In1 In 0.0000 0.0000 0.0000
Au1 Au 0.0000 0.0000 0.1860
Au2 Au 0.0172 0.5953 0.5742
```